#one
# MgCr

A relaxed structure of MgCr (PBE-GGA, the Alexandria database).

a b c (Å): 8.256 8.256 4.348
angles (deg): 90.00 90.00 90.00
Fractional coordinates of all 16 atoms:
Mg1 0.871 0.748 0.500
Mg2 0.129 0.252 0.500
Mg3 0.252 0.871 0.500
Mg4 0.748 0.129 0.500
Mg5 0.916 0.345 0.000
Mg6 0.084 0.655 0.000
Mg7 0.655 0.916 0.000
Mg8 0.345 0.084 0.000
Cr1 0.690 0.447 0.500
Cr2 0.310 0.553 0.500
Cr3 0.553 0.690 0.500
Cr4 0.447 0.310 0.500
Cr5 0.676 0.593 0.000
Cr6 0.324 0.407 0.000
Cr7 0.407 0.676 0.000
Cr8 0.593 0.324 0.000


#two
# MgCr

A relaxed structure of MgCr (PBE-GGA, the Alexandria database).

a b c (Å): 5.026 13.205 8.452
angles (deg): 90.00 90.00 90.00
Fractional coordinates of all 32 atoms:
Mg1 0.000 0.000 0.665
Mg2 0.000 0.000 0.335
Mg3 0.250 0.750 0.585
Mg4 0.250 0.750 0.915
Mg5 0.000 0.500 0.165
Mg6 0.000 0.500 0.835
Mg7 0.250 0.250 0.085
Mg8 0.250 0.250 0.415
Mg9 0.500 0.000 0.165
Mg10 0.500 0.000 0.835
Mg11 0.750 0.750 0.085
Mg12 0.750 0.750 0.415
Mg13 0.500 0.500 0.665
Mg14 0.500 0.500 0.335
Mg15 0.750 0.250 0.585
Mg16 0.750 0.250 0.915
Cr1 0.000 0.069 0.000
Cr2 0.000 0.931 0.000
Cr3 0.250 0.681 0.250
Cr4 0.250 0.819 0.250
Cr5 0.000 0.569 0.500
Cr6 0.000 0.431 0.500
Cr7 0.250 0.181 0.750
Cr8 0.250 0.319 0.750
Cr9 0.500 0.069 0.500
Cr10 0.500 0.931 0.500
Cr11 0.750 0.681 0.750
Cr12 0.750 0.819 0.750
Cr13 0.500 0.569 0.000
Cr14 0.500 0.431 0.000
Cr15 0.750 0.181 0.250
Cr16 0.750 0.319 0.250


Computed stability ranking, most favorable first: #one, #two


#one
# Cr3Rh

A relaxed structure of Cr3Rh (PBE-GGA, the Alexandria database).

a b c (Å): 4.803 4.803 4.803
angles (deg): 145.06 128.01 64.17
Fractional coordinates of all 4 atoms:
Cr1 0.019 0.019 0.000
Cr2 0.250 0.750 0.500
Cr3 0.481 0.481 0.000
Rh1 0.750 0.250 0.500


#two
# Cr3Rh

A relaxed structure of Cr3Rh (PBE-GGA, the Alexandria database).

a b c (Å): 2.568 2.568 7.569
angles (deg): 90.00 90.00 90.00
Fractional coordinates of all 4 atoms:
Cr1 0.000 0.000 0.998
Cr2 0.000 0.000 0.502
Cr3 0.500 0.500 0.750
Rh1 0.500 0.500 0.250


Computed stability ranking, most favorable first: #one, #two


#one
# BiBAs2

A relaxed structure of BiBAs2 (PBE-GGA, the Alexandria database).

a b c (Å): 4.839 4.839 4.839
angles (deg): 60.00 60.00 60.00
Fractional coordinates of all 4 atoms:
As1 0.250 0.250 0.250
As2 0.750 0.750 0.750
B1 0.000 0.000 0.000
Bi1 0.500 0.500 0.500


#two
# BiBAs2

A relaxed structure of BiBAs2 (PBE-GGA, the Alexandria database).

a b c (Å): 6.347 6.347 6.129
angles (deg): 58.82 58.82 90.00
Fractional coordinates of all 8 atoms:
As1 0.518 0.125 0.250
As2 0.232 0.625 0.250
As3 0.375 0.482 0.750
As4 0.875 0.768 0.750
B1 0.500 0.500 0.000
B2 0.250 0.750 0.500
Bi1 0.000 0.000 0.000
Bi2 0.750 0.250 0.500


Computed stability ranking, most favorable first: #two, #one


#one
# ScOs2Cl

A relaxed structure of ScOs2Cl (PBE-GGA, the Alexandria database).

a b c (Å): 8.801 8.801 8.801
angles (deg): 19.25 19.25 19.25
Fractional coordinates of all 4 atoms:
Cl1 0.750 0.750 0.750
Os1 0.001 0.001 0.001
Os2 0.499 0.499 0.499
Sc1 0.250 0.250 0.250


#two
# ScOs2Cl

A relaxed structure of ScOs2Cl (PBE-GGA, the Alexandria database).

a b c (Å): 4.500 4.500 4.500
angles (deg): 60.00 60.00 60.00
Fractional coordinates of all 4 atoms:
Sc1 0.500 0.500 0.500
Os1 0.250 0.250 0.250
Os2 0.750 0.750 0.750
Cl1 0.000 0.000 0.000


#three
# ScOs2Cl

A relaxed structure of ScOs2Cl (PBE-GGA, the Alexandria database).

a b c (Å): 2.927 2.927 9.449
angles (deg): 90.00 90.00 90.00
Site moments in Bohr magnetons follow the coordinates.
Fractional coordinates of all 4 atoms:
Cl1 0.500 0.500 0.658  0.00
Os1 0.000 0.000 0.098  0.06
Os2 0.500 0.500 0.262  0.01
Sc1 0.000 0.000 0.482  0.00


Computed stability ranking, most favorable first: #three, #one, #two